# 1
K2BaAu9: relaxed, PBE.

```
K2BaAu9
1.0
2.878 1.662 9.698
-2.878 1.662 9.698
0.000 -3.323 9.698
K Ba Au
2 1 9
Cartesian
0.000 0.000 4.234
0.000 0.000 24.859
0.000 0.000 0.000
-1.436 -0.829 12.095
0.000 0.000 9.663
0.000 -1.658 16.998
-1.436 0.829 16.998
0.000 0.000 14.547
1.436 -0.829 12.095
0.000 1.658 12.095
0.000 0.000 19.430
1.436 0.829 16.998
```

Its formation energy is -0.36 eV/atom. The density of states at the Fermi level is 3.45 states/eV/f.u. Its space group is R-3m (166).

# 2
K2BaAu: relaxed, PBE.

```
K2BaAu
1.0
4.725 0.000 0.000
0.000 4.725 0.000
-0.001 0.000 19.614
K Ba Au
4 2 2
Cartesian
1.173 0.000 4.743
1.184 0.004 18.067
3.540 2.366 1.547
3.551 2.363 14.871
1.182 4.711 11.394
3.542 2.348 8.220
1.180 4.711 8.092
3.544 2.348 11.522
```

Its formation energy is -0.33 eV/atom. The density of states at the Fermi level is 2.35 states/eV/f.u. Its space group is P2_1 (4). The value obtained for the offset from the most stable computed form is 0.000 eV per atom.

# 3
K2BaAu: relaxed, PBE.

```
K2BaAu
1.0
-2.534 2.534 6.825
2.534 -2.534 6.825
2.534 2.534 -6.825
K Ba Au
2 1 1
Cartesian
2.534 0.000 3.413
0.000 2.534 3.413
0.000 0.000 0.000
0.000 0.000 6.825
```

Its formation energy is -0.09 eV/atom. The density of states at the Fermi level is 2.03 states/eV/f.u. Its space group is I4/mmm (139). The value obtained for the offset from the most stable computed form is 0.238 eV per atom.

# 4
K2BaAu: relaxed, PBE.

```
K2BaAu
1.0
4.175 0.000 0.000
0.000 4.175 0.000
0.000 0.000 11.125
K Ba Au
2 1 1
Cartesian
0.000 0.000 1.847
0.000 0.000 9.277
2.088 2.088 5.562
2.088 2.088 0.000
```

Its formation energy is -0.08 eV/atom. The density of states at the Fermi level is 4.15 states/eV/f.u. Its space group is P4/mmm (123). The value obtained for the offset from the most stable computed form is 0.247 eV per atom.

# 5
KBaAu4: relaxed, PBE.

```
KBaAu4
1.0
-2.413 4.175 4.312
2.413 -4.175 4.312
2.413 4.175 -4.312
K Ba Au
1 1 4
Cartesian
0.000 0.000 0.000
0.000 0.000 4.312
2.413 -1.392 2.201
2.413 1.392 2.201
0.000 2.782 2.111
0.000 5.567 2.111
```

Its formation energy is -0.50 eV/atom. The density of states at the Fermi level is 1.50 states/eV/f.u. Its space group is Immm (71). The value obtained for the offset from the most stable computed form is 0.000 eV per atom.

# 6
K2Ba4Au: relaxed, PBE.

```
K2Ba4Au
1.0
-3.243 3.243 11.065
3.243 -3.243 11.065
3.243 3.243 -11.065
K Ba Au
2 4 1
Cartesian
0.000 0.000 3.317
0.000 0.000 18.813
3.243 0.000 0.000
0.000 0.000 7.789
0.000 3.243 0.000
0.000 0.000 14.341
0.000 0.000 11.065
```

Its formation energy is -0.11 eV/atom. The density of states at the Fermi level is 8.03 states/eV/f.u. Its space group is I4/mmm (139).

# 7
K2BaAu: relaxed, PBE.

```
K2BaAu
1.0
4.794 0.000 0.000
0.000 4.451 0.000
-2.385 0.000 9.856
K Ba Au
2 1 1
Cartesian
0.000 0.000 0.000
0.001 2.226 6.507
2.397 2.226 3.074
0.000 0.000 3.605
```

Its formation energy is -0.27 eV/atom. The density of states at the Fermi level is 3.69 states/eV/f.u. Its space group is Pm (6). The value obtained for the offset from the most stable computed form is 0.061 eV per atom.

# 8
KBa2Au2: relaxed, PBE.

```
KBa2Au2
1.0
-2.862 2.862 6.221
2.862 -2.862 6.221
2.862 2.862 -6.221
K Ba Au
1 2 2
Cartesian
0.000 0.000 0.000
2.862 0.000 3.111
0.000 2.862 3.111
0.000 0.000 4.826
0.000 0.000 7.617
```

Its formation energy is -0.40 eV/atom. The density of states at the Fermi level is 4.89 states/eV/f.u. Its space group is I4/mmm (139). The value obtained for the offset from the most stable computed form is 0.127 eV per atom.